(1)
## LiRu2Br (PBE)

Data for an optimized crystal structure of LiRu2Br.

As for the energy above the most stable polymorph in this dataset: 24.6 kJ/mol of atoms.

Geometry as CIF:
```
data_LiRu2Br
_cell_length_a 4.9552
_cell_length_b 5.0093
_cell_length_c 5.5548
_cell_angle_alpha 90.00
_cell_angle_beta 90.00
_cell_angle_gamma 90.00
_space_group_name_H-M_alt 'C m m m'
_space_group_IT_number 65
_space_group_name_Hall '-C 2 2'
loop_
_atom_site_label
_atom_site_type_symbol
_atom_site_fract_x
_atom_site_fract_y
_atom_site_fract_z
Li1 Li 0.0000 0.0000 0.0000
Ru1 Ru 0.2442 0.0000 0.5000
Br1 Br 0.0000 0.5000 0.0000
```

=====

(2)
## AcZrCd2 (PBE)

Data for an optimized crystal structure of AcZrCd2.

As for the energy above the most stable polymorph in this dataset: 12.6 kJ/mol of atoms. The calculation puts the formation energy at 0.037 eV per atom.

Geometry as CIF:
```
data_AcZrCd2
_cell_length_a 5.4198
_cell_length_b 5.4198
_cell_length_c 3.7395
_cell_angle_alpha 90.00
_cell_angle_beta 90.00
_cell_angle_gamma 90.00
_space_group_name_H-M_alt 'P 4/m m m'
_space_group_IT_number 123
_space_group_name_Hall '-P 4 2'
loop_
_atom_site_label
_atom_site_type_symbol
_atom_site_fract_x
_atom_site_fract_y
_atom_site_fract_z
Ac1 Ac 0.0000 0.0000 0.0000
Zr1 Zr 0.5000 0.5000 0.0000
Cd1 Cd 0.0000 0.5000 0.5000
```

=====

(3)
## Pr4PuAs5 (PBE)

Data for an optimized crystal structure of Pr4PuAs5.

The calculation puts the formation energy at -1.390 eV per atom.

Geometry as CIF:
```
data_Pr4PuAs5
_cell_length_a 4.2786
_cell_length_b 4.2786
_cell_length_c 30.2029
_cell_angle_alpha 90.00
_cell_angle_beta 90.00
_cell_angle_gamma 90.00
_space_group_name_H-M_alt 'I 4/m m m'
_space_group_IT_number 139
_space_group_name_Hall '-I 4 2'
loop_
_atom_site_label
_atom_site_type_symbol
_atom_site_fract_x
_atom_site_fract_y
_atom_site_fract_z
Pr1 Pr 0.0000 0.0000 0.0998
Pr2 Pr 0.0000 0.0000 0.3004
Pu1 Pu 0.0000 0.0000 0.5000
As1 As 0.0000 0.0000 0.0000
As2 As 0.0000 0.0000 0.1998
As3 As 0.0000 0.0000 0.4026
```

=====

Result set for energy: -40.93, -14.34, -141.19 eV/cell, one per record in the order listed.